Record 1
DFT (GGA-PBE) results for a relaxed Pm2SmThBi5 crystal.

Fermi-level density of states	6.8	states/eV/cell
VASP energy	-4.49	eV/atom
E_form	70	meV/atom

Cell lengths 5.728, 5.728, 12.039 Å; angles 90.00, 90.00, 90.00 degrees
Fractional positions:
Pm 0.000 0.000 0.227
Pm 0.000 0.000 0.773
Sm 0.500 0.500 0.500
Th 0.500 0.500 0.000
Bi 0.000 0.000 0.500
Bi 0.000 0.500 0.000
Bi 0.500 0.000 0.000
Bi 0.500 0.500 0.256
Bi 0.500 0.500 0.744

Record 2
DFT (GGA-PBE) results for a relaxed Pm3SmTh2Bi6 crystal.

Fermi-level density of states	5.1	states/eV/cell
VASP energy	-5.58	eV/atom
E_form	-825	meV/atom

Cell lengths 10.247, 10.247, 9.158 Å; angles 102.92, 102.92, 25.87 degrees
Fractional positions:
Pm 0.000 0.000 0.000
Pm 0.334 0.334 0.666
Pm 0.666 0.666 0.334
Sm 0.000 0.000 0.500
Th 0.335 0.335 0.169
Th 0.665 0.665 0.831
Bi 0.166 0.166 0.582
Bi 0.167 0.167 0.084
Bi 0.499 0.499 0.749
Bi 0.501 0.501 0.251
Bi 0.833 0.833 0.916
Bi 0.834 0.834 0.418

Record 3
DFT (GGA-PBE) results for a relaxed Pm2SmTh3Bi6 crystal.

Fermi-level density of states	6.7	states/eV/cell
VASP energy	-5.74	eV/atom
E_form	-758	meV/atom

Cell lengths 10.255, 10.255, 9.153 Å; angles 102.83, 102.83, 25.86 degrees
Fractional positions:
Pm 0.167 0.167 0.333
Pm 0.833 0.833 0.667
Sm 0.500 0.500 0.000
Th 0.167 0.167 0.833
Th 0.500 0.500 0.500
Th 0.833 0.833 0.167
Bi 0.000 0.000 0.248
Bi 0.000 0.000 0.752
Bi 0.333 0.333 0.418
Bi 0.334 0.334 0.916
Bi 0.666 0.666 0.084
Bi 0.667 0.667 0.582

Record 4
DFT (GGA-PBE) results for a relaxed Pm2SmTm3Bi6 crystal.

Fermi-level density of states	2.0	states/eV/cell
VASP energy	-5.10	eV/atom
E_form	-857	meV/atom

Cell lengths 10.062, 10.062, 9.001 Å; angles 102.76, 102.76, 25.87 degrees
Fractional positions:
Pm 0.166 0.166 0.333
Pm 0.834 0.834 0.667
Sm 0.500 0.500 0.000
Tm 0.167 0.167 0.833
Tm 0.500 0.500 0.500
Tm 0.833 0.833 0.167
Bi 0.002 0.002 0.745
Bi 0.331 0.331 0.923
Bi 0.336 0.336 0.411
Bi 0.664 0.664 0.589
Bi 0.669 0.669 0.077
Bi 0.998 0.998 0.255